(1)
# NaHoTl2

A relaxed NaHoTl2 crystal (PBE-GGA, the Alexandria database).

a b c (Å): 5.325 5.325 5.325
angles (deg): 60.00 60.00 60.00
Fractional coordinates of all 4 atoms:
Na  0.000  0.000  0.000
Ho  0.500  0.500  0.500
Tl  0.250  0.250  0.250
Tl  0.750  0.750  0.750

Offset from the most stable computed form in eV/atom: 0.025
Energy of formation from the pure elements in eV/f.u.: -0.9
Calculated volume in Å³ per atom: 26.7
DOS at the Fermi energy in states/eV per atom: 0.371
ρ in g/cm³: 9.28

=====

(2)
# NaHo5Tl6

A relaxed NaHo5Tl6 crystal (PBE-GGA, the Alexandria database).

a b c (Å): 5.333 7.532 8.468
angles (deg): 90.00 71.65 90.00
Fractional coordinates of all 12 atoms:
Na  0.000  0.000  0.000
Tl  0.834  0.751  0.332
Tl  0.834  0.249  0.332
Tl  0.500  0.245  0.000
Tl  0.500  0.755  0.000
Tl  0.166  0.751  0.668
Tl  0.166  0.249  0.668
Ho  0.664  0.500  0.672
Ho  0.336  0.000  0.327
Ho  0.000  0.500  0.000
Ho  0.664  0.000  0.673
Ho  0.336  0.500  0.328

Energy of formation from the pure elements in eV/f.u.: -3.5
Calculated volume in Å³ per atom: 26.9
DOS at the Fermi energy in states/eV per atom: 0.712
ρ in g/cm³: 10.67

=====

(3)
# Na4HoTl15

A relaxed Na4HoTl15 crystal (PBE-GGA, the Alexandria database).

a b c (Å): 4.806 4.806 24.725
angles (deg): 90.00 90.00 90.00
Fractional coordinates of all 20 atoms:
Na  0.000  0.000  0.194
Na  0.000  0.000  0.399
Na  0.000  0.000  0.601
Na  0.000  0.000  0.806
Ho  0.000  0.000  0.000
Tl  0.500  0.500  0.000
Tl  0.500  0.500  0.195
Tl  0.500  0.500  0.399
Tl  0.500  0.500  0.601
Tl  0.500  0.500  0.805
Tl  0.500  0.000  0.097
Tl  0.500  0.000  0.298
Tl  0.500  0.000  0.500
Tl  0.500  0.000  0.702
Tl  0.500  0.000  0.903
Tl  0.000  0.500  0.097
Tl  0.000  0.500  0.298
Tl  0.000  0.500  0.500
Tl  0.000  0.500  0.702
Tl  0.000  0.500  0.903

Energy of formation from the pure elements in eV/f.u.: -1.7
Calculated volume in Å³ per atom: 28.6
DOS at the Fermi energy in states/eV per atom: 0.590
ρ in g/cm³: 9.66

=====

(4)
# Na4HoTl5

A relaxed Na4HoTl5 crystal (PBE-GGA, the Alexandria database).

a b c (Å): 3.614 3.614 21.662
angles (deg): 90.00 90.00 90.00
Site moments in Bohr magnetons follow the coordinates.
Fractional coordinates of all 10 atoms:
Na  0.000  0.000  0.191  0.00
Na  0.000  0.000  0.396  0.00
Na  0.000  0.000  0.604  0.00
Na  0.000  0.000  0.809  0.00
Ho  0.000  0.000  0.000  0.14
Tl  0.500  0.500  0.094  0.00
Tl  0.500  0.500  0.293  0.00
Tl  0.500  0.500  0.500  0.00
Tl  0.500  0.500  0.707  0.00
Tl  0.500  0.500  0.906  0.00

Energy of formation from the pure elements in eV/f.u.: -1.5
Calculated volume in Å³ per atom: 28.3
DOS at the Fermi energy in states/eV per atom: 0.370
ρ in g/cm³: 7.51

=====

(5)
# NaHo5Tl3

A relaxed NaHo5Tl3 crystal (PBE-GGA, the Alexandria database).

a b c (Å): 6.661 9.309 9.309
angles (deg): 120.00 90.00 90.00
Fractional coordinates of all 18 atoms:
Na  0.000  0.000  0.000
Na  0.500  0.000  0.000
Ho  0.000  0.667  0.333
Ho  0.500  0.333  0.667
Ho  0.000  0.333  0.667
Ho  0.500  0.667  0.333
Ho  0.750  0.681  0.681
Ho  0.750  0.000  0.319
Ho  0.750  0.319  0.000
Ho  0.250  0.319  0.319
Ho  0.250  0.000  0.681
Ho  0.250  0.681  0.000
Tl  0.750  0.347  0.347
Tl  0.750  0.000  0.653
Tl  0.750  0.653  0.000
Tl  0.250  0.653  0.653
Tl  0.250  0.000  0.347
Tl  0.250  0.347  0.000

Energy of formation from the pure elements in eV/f.u.: -2.1
Calculated volume in Å³ per atom: 27.8
DOS at the Fermi energy in states/eV per atom: 0.728
ρ in g/cm³: 9.70

=====

(6)
# NaHoTl2

A relaxed NaHoTl2 crystal (PBE-GGA, the Alexandria database).

a b c (Å): 3.634 3.634 10.409
angles (deg): 79.95 79.95 60.00
Fractional coordinates of all 4 atoms:
Na  0.500  0.500  0.500
Ho  0.667  0.667  0.000
Tl  0.083  0.083  0.751
Tl  0.251  0.251  0.248

Offset from the most stable computed form in eV/atom: 0.136
Energy of formation from the pure elements in eV/f.u.: -0.4
Calculated volume in Å³ per atom: 29.2
DOS at the Fermi energy in states/eV per atom: 0.781
ρ in g/cm³: 8.50

=====

(7)
# NaHoTl2

A relaxed NaHoTl2 crystal (PBE-GGA, the Alexandria database).

a b c (Å): 3.609 3.609 10.555
angles (deg): 80.16 80.16 60.00
Fractional coordinates of all 4 atoms:
Na  0.500  0.500  0.500
Tl  0.749  0.749  0.753
Tl  0.251  0.251  0.247
Ho  0.000  0.000  0.000

Offset from the most stable computed form in eV/atom: 0.145
Energy of formation from the pure elements in eV/f.u.: -0.4
Calculated volume in Å³ per atom: 29.2
DOS at the Fermi energy in states/eV per atom: 0.827
ρ in g/cm³: 8.49

=====

(8)
# NaHoTl6

A relaxed NaHoTl6 crystal (PBE-GGA, the Alexandria database).

a b c (Å): 4.806 4.806 9.648
angles (deg): 90.00 90.00 90.00
Fractional coordinates of all 8 atoms:
Na  0.000  0.000  0.000
Ho  0.000  0.000  0.500
Tl  0.500  0.500  0.000
Tl  0.500  0.500  0.500
Tl  0.500  0.000  0.254
Tl  0.500  0.000  0.746
Tl  0.000  0.500  0.254
Tl  0.000  0.500  0.746

Energy of formation from the pure elements in eV/f.u.: -0.9
Calculated volume in Å³ per atom: 27.9
DOS at the Fermi energy in states/eV per atom: 0.454
ρ in g/cm³: 10.54

=====

(9)
# NaHoTl

A relaxed NaHoTl crystal (PBE-GGA, the Alexandria database).

a b c (Å): 3.389 5.288 5.288
angles (deg): 120.00 90.00 90.00
Fractional coordinates of all 3 atoms:
Na  0.837  0.000  0.000
Tl  0.829  0.667  0.333
Ho  0.333  0.333  0.667

Offset from the most stable computed form in eV/atom: 0.098
Energy of formation from the pure elements in eV/f.u.: -0.1
Calculated volume in Å³ per atom: 27.4
DOS at the Fermi energy in states/eV per atom: 0.613
ρ in g/cm³: 7.94

=====

(10)
# NaHo4Tl7

A relaxed NaHo4Tl7 crystal (PBE-GGA, the Alexandria database).

a b c (Å): 5.455 9.771 7.499
angles (deg): 81.08 68.67 73.79
Fractional coordinates of all 12 atoms:
Na  0.000  0.000  0.000
Ho  0.581  0.216  0.621
Ho  0.419  0.784  0.379
Ho  0.715  0.667  0.904
Ho  0.285  0.333  0.096
Tl  0.777  0.891  0.554
Tl  0.223  0.109  0.446
Tl  0.077  0.679  0.167
Tl  0.923  0.321  0.833
Tl  0.366  0.551  0.716
Tl  0.500  0.000  0.000
Tl  0.634  0.449  0.284

Energy of formation from the pure elements in eV/f.u.: -1.2
Calculated volume in Å³ per atom: 29.7
DOS at the Fermi energy in states/eV per atom: 0.396
ρ in g/cm³: 9.83

=====

(11)
# NaHoTl2

A relaxed NaHoTl2 crystal (PBE-GGA, the Alexandria database).

a b c (Å): 3.834 5.284 5.284
angles (deg): 90.00 90.00 90.00
Fractional coordinates of all 4 atoms:
Na  0.500  0.000  0.000
Tl  0.000  0.000  0.500
Tl  0.000  0.500  0.000
Ho  0.500  0.500  0.500

Offset from the most stable computed form in eV/atom: 0.000
Energy of formation from the pure elements in eV/f.u.: -1.0
Calculated volume in Å³ per atom: 26.8
DOS at the Fermi energy in states/eV per atom: 0.516
ρ in g/cm³: 9.26

=====

(12)
# Na3HoTl12

A relaxed Na3HoTl12 crystal (PBE-GGA, the Alexandria database).

a b c (Å): 4.858 4.858 19.246
angles (deg): 90.00 90.00 90.00
Fractional coordinates of all 16 atoms:
Na  0.000  0.000  0.245
Na  0.000  0.000  0.500
Na  0.000  0.000  0.755
Ho  0.000  0.000  0.000
Tl  0.500  0.500  0.000
Tl  0.500  0.500  0.249
Tl  0.500  0.500  0.500
Tl  0.500  0.500  0.751
Tl  0.500  0.000  0.122
Tl  0.500  0.000  0.375
Tl  0.500  0.000  0.625
Tl  0.500  0.000  0.878
Tl  0.000  0.500  0.122
Tl  0.000  0.500  0.375
Tl  0.000  0.500  0.625
Tl  0.000  0.500  0.878

Energy of formation from the pure elements in eV/f.u.: -1.4
Calculated volume in Å³ per atom: 28.4
DOS at the Fermi energy in states/eV per atom: 0.511
ρ in g/cm³: 9.82

=====

(13)
# NaHoTl3

A relaxed NaHoTl3 crystal (PBE-GGA, the Alexandria database).

a b c (Å): 5.777 7.604 7.604
angles (deg): 120.00 90.00 90.00
Fractional coordinates of all 10 atoms:
Na  0.000  0.000  0.000
Na  0.500  0.000  0.000
Ho  0.250  0.334  0.666
Ho  0.750  0.666  0.334
Tl  0.250  0.804  0.196
Tl  0.750  0.196  0.804
Tl  0.250  0.804  0.608
Tl  0.750  0.196  0.392
Tl  0.250  0.392  0.196
Tl  0.750  0.608  0.804

Energy of formation from the pure elements in eV/f.u.: 0.5
Calculated volume in Å³ per atom: 28.9
DOS at the Fermi energy in states/eV per atom: 0.828
ρ in g/cm³: 9.20

=====

(14)
# NaHo3Tl4

A relaxed NaHo3Tl4 crystal (PBE-GGA, the Alexandria database).

a b c (Å): 5.310 5.310 9.311
angles (deg): 73.43 73.43 60.00
Fractional coordinates of all 8 atoms:
Na  0.000  0.000  0.000
Tl  0.876  0.876  0.373
Tl  0.375  0.375  0.875
Tl  0.124  0.124  0.627
Tl  0.625  0.625  0.125
Ho  0.253  0.253  0.240
Ho  0.747  0.747  0.760
Ho  0.500  0.500  0.500

Energy of formation from the pure elements in eV/f.u.: -2.2
Calculated volume in Å³ per atom: 26.8
DOS at the Fermi energy in states/eV per atom: 0.609
ρ in g/cm³: 10.33

=====

(15)
# NaYHoTl

A relaxed NaYHoTl crystal (PBE-GGA, the Alexandria database).

a b c (Å): 5.395 5.395 5.395
angles (deg): 60.00 60.00 60.00
Fractional coordinates of all 4 atoms:
Y  0.750  0.750  0.750
Na  0.500  0.500  0.500
Tl  0.000  0.000  0.000
Ho  0.250  0.250  0.250

Energy of formation from the pure elements in eV/f.u.: -0.2
Calculated volume in Å³ per atom: 27.8
DOS at the Fermi energy in states/eV per atom: 0.942
ρ in g/cm³: 7.20

=====

(16)
# NaHoTm

A relaxed NaHoTm crystal (PBE-GGA, the Alexandria database).

a b c (Å): 6.659 6.660 9.510
angles (deg): 83.50 71.94 30.68
Fractional coordinates of all 6 atoms:
Na  0.275  0.937  0.906
Na  0.961  0.703  0.948
Ho  0.939  0.388  0.301
Ho  0.296  0.252  0.553
Tm  0.974  0.022  0.600
Tm  0.261  0.617  0.254

Offset from the most stable computed form in eV/atom: 0.010
Energy of formation from the pure elements in eV/f.u.: 0.5
Calculated volume in Å³ per atom: 32.3
DOS at the Fermi energy in states/eV per atom: 1.455
ρ in g/cm³: 6.11

=====

(17)
# NaHoTm2

A relaxed NaHoTm2 crystal (PBE-GGA, the Alexandria database).

a b c (Å): 3.456 3.456 12.720
angles (deg): 82.19 82.19 60.00
Fractional coordinates of all 4 atoms:
Na  0.000  0.000  0.000
Tm  0.092  0.092  0.723
Tm  0.908  0.908  0.277
Ho  0.500  0.500  0.500

Offset from the most stable computed form in eV/atom: 0.032
Energy of formation from the pure elements in eV/f.u.: 0.7
Calculated volume in Å³ per atom: 32.5
DOS at the Fermi energy in states/eV per atom: 1.309
ρ in g/cm³: 6.72

=====

(18)
# NaHoTm

A relaxed NaHoTm crystal (PBE-GGA, the Alexandria database).

a b c (Å): 3.490 3.490 9.110
angles (deg): 90.00 90.00 120.00
Fractional coordinates of all 3 atoms:
Na  0.000  0.000  0.001
Tm  0.667  0.333  0.351
Ho  0.333  0.667  0.649

Offset from the most stable computed form in eV/atom: 0.000
Energy of formation from the pure elements in eV/f.u.: 0.5
Calculated volume in Å³ per atom: 32.0
DOS at the Fermi energy in states/eV per atom: 1.569
ρ in g/cm³: 6.16

=====

(19)
# NaHoTm

A relaxed NaHoTm crystal (PBE-GGA, the Alexandria database).

a b c (Å): 4.372 4.372 11.177
angles (deg): 90.00 90.00 90.00
Fractional coordinates of all 6 atoms:
Ho  0.500  0.000  0.237
Ho  0.000  0.500  0.763
Na  0.500  0.000  0.586
Na  0.000  0.500  0.414
Tm  0.500  0.500  0.000
Tm  0.000  0.000  0.000

Offset from the most stable computed form in eV/atom: 0.318
Energy of formation from the pure elements in eV/f.u.: 1.4
Calculated volume in Å³ per atom: 35.6
DOS at the Fermi energy in states/eV per atom: 1.289
ρ in g/cm³: 5.55

=====

(20)
# NaHoTm2

A relaxed NaHoTm2 crystal (PBE-GGA, the Alexandria database).

a b c (Å): 3.507 3.507 10.378
angles (deg): 90.00 90.00 90.00
Fractional coordinates of all 4 atoms:
Na  0.500  0.500  0.500
Tm  0.000  0.000  0.772
Tm  0.000  0.000  0.228
Ho  0.500  0.500  0.000

Offset from the most stable computed form in eV/atom: 0.000
Energy of formation from the pure elements in eV/f.u.: 0.6
Calculated volume in Å³ per atom: 31.9
DOS at the Fermi energy in states/eV per atom: 0.962
ρ in g/cm³: 6.84

=====

(21)
# NaHoZn2

A relaxed NaHoZn2 crystal (PBE-GGA, the Alexandria database).

a b c (Å): 3.368 5.145 5.145
angles (deg): 90.00 90.00 90.00
Fractional coordinates of all 4 atoms:
Na  0.500  0.500  0.500
Zn  0.000  0.000  0.500
Zn  0.000  0.500  0.000
Ho  0.500  0.000  0.000

Offset from the most stable computed form in eV/atom: 0.000
Energy of formation from the pure elements in eV/f.u.: -0.4
Calculated volume in Å³ per atom: 22.3
DOS at the Fermi energy in states/eV per atom: 0.691
ρ in g/cm³: 5.94

=====

(22)
# NaHoZn

A relaxed NaHoZn crystal (PBE-GGA, the Alexandria database).

a b c (Å): 3.476 3.471 15.684
angles (deg): 90.00 90.00 120.05
Fractional coordinates of all 6 atoms:
Zn  0.610  0.220  0.000
Zn  0.279  0.558  0.500
Ho  0.613  0.225  0.357
Ho  0.613  0.225  0.643
Na  0.276  0.552  0.843
Na  0.276  0.552  0.157

Energy of formation from the pure elements in eV/f.u.: 0.4
Calculated volume in Å³ per atom: 27.3
DOS at the Fermi energy in states/eV per atom: 0.526
ρ in g/cm³: 5.14

=====

(23)
# NaHoZn10

A relaxed NaHoZn10 crystal (PBE-GGA, the Alexandria database).

a b c (Å): 4.279 5.264 9.207
angles (deg): 90.00 90.00 90.00
Fractional coordinates of all 12 atoms:
Na  0.000  0.500  0.500
Ho  0.000  0.000  0.000
Zn  0.000  0.000  0.338
Zn  0.000  0.500  0.825
Zn  0.000  0.500  0.175
Zn  0.000  0.000  0.662
Zn  0.500  0.000  0.500
Zn  0.500  0.500  0.000
Zn  0.500  0.242  0.238
Zn  0.500  0.758  0.762
Zn  0.500  0.758  0.238
Zn  0.500  0.242  0.762

Energy of formation from the pure elements in eV/f.u.: -1.8
Calculated volume in Å³ per atom: 17.3
DOS at the Fermi energy in states/eV per atom: 0.451
ρ in g/cm³: 6.74

=====

(24)
# NaHoZn4

A relaxed NaHoZn4 crystal (PBE-GGA, the Alexandria database).

a b c (Å): 5.426 5.426 5.426
angles (deg): 60.00 60.00 60.00
Fractional coordinates of all 6 atoms:
Na  0.250  0.250  0.250
Zn  0.625  0.625  0.125
Zn  0.625  0.125  0.625
Zn  0.625  0.625  0.625
Zn  0.125  0.625  0.625
Ho  0.000  0.000  0.000

Energy of formation from the pure elements in eV/f.u.: -0.9
Calculated volume in Å³ per atom: 18.8
DOS at the Fermi energy in states/eV per atom: 0.562
ρ in g/cm³: 6.61

=====

(25)
# Na2HoZn9

A relaxed Na2HoZn9 crystal (PBE-GGA, the Alexandria database).

a b c (Å): 5.369 5.369 9.108
angles (deg): 72.86 72.86 60.00
Fractional coordinates of all 12 atoms:
Na  0.856  0.856  0.431
Na  0.144  0.144  0.569
Ho  0.000  0.000  0.000
Zn  0.666  0.666  0.002
Zn  0.334  0.334  0.998
Zn  0.500  0.500  0.500
Zn  0.416  0.416  0.246
Zn  0.921  0.416  0.246
Zn  0.416  0.921  0.246
Zn  0.584  0.584  0.754
Zn  0.584  0.079  0.754
Zn  0.079  0.584  0.754

Energy of formation from the pure elements in eV/f.u.: -1.5
Calculated volume in Å³ per atom: 17.8
DOS at the Fermi energy in states/eV per atom: 0.417
ρ in g/cm³: 6.21